# 1
Material: Li5La
Method: DFT, meta-GGA SCAN
State: PBEsol geometry

* energy of formation from the pure elements: 82 meV per atom
* energy above the most stable polymorph in this dataset: 7.6 kJ/mol of formula units
* total DFT energy (no corrections): -9.094 eV per atom
* calculated volume: 138 Å³/f.u.
* M_tot: 0.06 μB/f.u.

Structure (POSCAR):
```
Li5La
1.0
3.141 0.000 0.000
0.000 5.246 0.000
-1.570 0.000 8.399
Li La
5 1
Direct
0.776 0.500 0.552 Li
0.118 0.500 0.236 Li
0.328 0.000 0.655 Li
0.682 0.000 0.364 Li
0.425 0.500 0.850 Li
0.005 0.000 0.009 La
```

=====

# 2
Material: LiLaMg2
Method: DFT, meta-GGA SCAN
State: PBEsol geometry

* energy of formation from the pure elements: -31 meV per atom
* energy above the most stable polymorph in this dataset: 21.9 kJ/mol of formula units
* total DFT energy (no corrections): -13.892 eV per atom
* calculated volume: 102 Å³/f.u.
* M_tot: 0.00 μB/f.u.

Structure (POSCAR):
```
LiLaMg2
1.0
5.241 0.000 0.000
2.621 4.536 -0.004
2.621 1.507 4.278
Mg La Li
2 1 1
Direct
0.750 0.250 0.250 Mg
0.250 0.750 0.750 Mg
0.500 0.000 0.000 La
0.000 0.500 0.500 Li
```

=====

# 3
Material: LiLaMg2
Method: DFT, meta-GGA SCAN
State: PBEsol geometry

* energy of formation from the pure elements: -88 meV per atom
* energy above the most stable polymorph in this dataset: 0.0 kJ/mol of formula units
* total DFT energy (no corrections): -13.949 eV per atom
* calculated volume: 99 Å³/f.u.
* M_tot: 0.01 μB/f.u.

Structure (POSCAR):
```
LiLaMg2
1.0
-3.535 -3.441 1.620
0.279 -4.942 -1.567
1.347 -3.718 3.364
Mg Li La
2 1 1
Direct
0.000 0.000 0.000 Mg
0.250 0.250 0.250 Mg
0.750 0.750 0.750 Li
0.500 0.500 0.500 La
```

=====

# 4
Material: LiLaMg2
Method: DFT, meta-GGA SCAN
State: PBEsol geometry

* energy of formation from the pure elements: -62 meV per atom
* energy above the most stable polymorph in this dataset: 10.1 kJ/mol of formula units
* total DFT energy (no corrections): -13.923 eV per atom
* calculated volume: 98 Å³/f.u.
* M_tot: 0.03 μB/f.u.

Structure (POSCAR):
```
LiLaMg2
1.0
3.449 0.000 0.000
0.000 3.449 0.000
0.000 0.000 8.252
Li Mg La
1 2 1
Direct
0.500 0.500 0.500 Li
0.000 0.000 0.703 Mg
0.000 0.000 0.297 Mg
0.500 0.500 0.000 La
```

=====

# 5
Material: LiLaMg4
Method: DFT, meta-GGA SCAN
State: PBEsol geometry

* energy of formation from the pure elements: -29 meV per atom
* total DFT energy (no corrections): -10.927 eV per atom
* calculated volume: 153 Å³/f.u.
* M_tot: 0.98 μB/f.u.

Structure (POSCAR):
```
LiLaMg4
1.0
-1.121 5.900 -0.158
-5.472 1.979 -1.494
-3.532 2.499 4.168
La Mg Li
1 4 1
Direct
0.750 0.750 0.750 La
0.375 0.375 0.375 Mg
0.875 0.375 0.375 Mg
0.375 0.875 0.375 Mg
0.375 0.375 0.875 Mg
0.000 0.000 0.000 Li
```

=====

# 6
Material: LiLaMg2
Method: DFT, meta-GGA SCAN
State: PBEsol geometry

* energy of formation from the pure elements: -15 meV per atom
* energy above the most stable polymorph in this dataset: 28.3 kJ/mol of formula units
* total DFT energy (no corrections): -13.876 eV per atom
* calculated volume: 98 Å³/f.u.
* M_tot: 0.56 μB/f.u.

Structure (POSCAR):
```
LiLaMg2
1.0
3.437 0.000 0.000
0.000 3.439 0.000
0.000 0.000 8.277
La Mg Li
1 2 1
Direct
0.000 0.000 0.509 La
0.000 0.000 0.982 Mg
0.500 0.500 0.216 Mg
0.500 0.500 0.793 Li
```

=====

# 7
Material: LiLaMg2
Method: DFT, meta-GGA SCAN
State: PBEsol geometry

* energy of formation from the pure elements: -17 meV per atom
* energy above the most stable polymorph in this dataset: 27.7 kJ/mol of formula units
* total DFT energy (no corrections): -13.877 eV per atom
* calculated volume: 101 Å³/f.u.
* M_tot: 0.40 μB/f.u.

Structure (POSCAR):
```
LiLaMg2
1.0
3.189 0.000 -0.005
0.000 4.919 0.000
-1.485 0.000 6.435
Li Mg La
1 2 1
Direct
0.500 0.500 0.500 Li
0.111 0.000 0.282 Mg
0.889 0.000 0.718 Mg
0.500 0.500 0.000 La
```

=====

# 8
Material: LiLaMg30O32
Method: DFT, meta-GGA SCAN
State: PBEsol geometry

* total DFT energy (no corrections): -9.123 eV per atom
* calculated volume: 617 Å³/f.u.
* formation energy from raw total energies: -2.9650 eV per atom
* M_tot: 0.00 μB/f.u.

Structure (POSCAR):
```
LiLaMg30O32
1.0
-2.355 8.077 -1.248
-7.876 -2.597 -1.947
-2.230 0.616 8.199
Mg O Li La
30 32 1 1
Direct
0.248 0.500 0.750 Mg
0.762 0.000 0.745 Mg
0.752 0.250 0.500 Mg
0.248 0.250 0.500 Mg
0.500 0.000 0.500 Mg
0.238 0.745 0.000 Mg
0.762 0.255 0.000 Mg
0.500 0.258 0.258 Mg
0.248 0.750 0.500 Mg
0.000 0.500 0.000 Mg
0.752 0.750 0.500 Mg
0.000 0.248 0.752 Mg
0.248 0.500 0.250 Mg
0.000 0.500 0.500 Mg
0.000 0.752 0.752 Mg
0.762 0.745 0.000 Mg
0.238 0.000 0.745 Mg
0.500 0.500 0.000 Mg
0.752 0.500 0.250 Mg
0.500 0.742 0.258 Mg
0.238 0.000 0.255 Mg
0.500 0.742 0.742 Mg
0.500 0.500 0.500 Mg
0.752 0.500 0.750 Mg
0.000 0.752 0.248 Mg
0.238 0.255 0.000 Mg
0.000 0.248 0.248 Mg
0.762 0.000 0.255 Mg
0.000 0.000 0.500 Mg
0.500 0.258 0.742 Mg
0.500 0.253 0.500 O
0.749 0.751 0.249 O
0.500 0.000 0.732 O
0.751 0.000 0.500 O
0.500 0.500 0.747 O
0.000 0.000 0.261 O
0.000 0.252 0.500 O
0.000 0.261 0.000 O
0.500 0.500 0.253 O
0.500 0.268 0.000 O
0.000 0.000 0.739 O
0.251 0.751 0.751 O
0.751 0.500 0.000 O
0.749 0.751 0.751 O
0.249 0.500 0.000 O
0.232 0.000 0.000 O
0.500 0.747 0.500 O
0.000 0.748 0.500 O
0.251 0.751 0.249 O
0.749 0.249 0.249 O
0.000 0.500 0.252 O
0.000 0.500 0.748 O
0.251 0.249 0.751 O
0.768 0.000 0.000 O
0.500 0.000 0.268 O
0.000 0.739 0.000 O
0.500 0.732 0.000 O
0.750 0.500 0.500 O
0.249 0.000 0.500 O
0.749 0.249 0.751 O
0.250 0.500 0.500 O
0.251 0.249 0.249 O
0.000 0.000 0.000 Li
0.500 0.000 0.000 La
```